Here is a relaxed SrScTlAu crystal from Alexandria via LeMat-Bulk. Energies are from PBE-GGA.

The space group is F-43m (No. 216) and the conventional cell measures 7.467, 7.467 and 7.467 Å, with angles of 90.00, 90.00 and 90.00 degrees. The inequivalent atoms are Sr at (0.000, 0.000, 0.000), Sc at (0.000, 0.000, 0.500), Tl at (0.250, 0.250, 0.750) and Au at (0.250, 0.250, 0.250).

The energy of formation is -389 meV per atom. Its density is 8517 kg/m3.

=====

Here is a relaxed BaNa2Nd crystal from Alexandria via LeMat-Bulk. Energies are from PBE-GGA.

The space group is R-3m (No. 166, hexagonal axes) and the conventional cell measures 3.7242, 3.7242 and 41.7700 Å, with angles of 90.00, 90.00 and 120.00 degrees. The inequivalent atoms are Ba at (0.0000, 0.0000, 0.0000), Na at (0.0000, 0.0000, 0.4158) and Nd at (0.0000, 0.0000, 0.5000).

The energy of formation is 303 meV per atom. Its density is 3252 kg/m3.

=====

Here is a relaxed Li2BeCr crystal from Alexandria via LeMat-Bulk. Energies are from PBE-GGA.

The space group is F-43m (No. 216) and the conventional cell measures 5.981, 5.981 and 5.981 Å, with angles of 90.00, 90.00 and 90.00 degrees. The inequivalent atoms are Li at (0.000, 0.000, 0.000), Li at (0.250, 0.250, 0.250), Be at (0.250, 0.250, 0.750) and Cr at (0.000, 0.000, 0.500).

The energy of formation is 449 meV per atom. Its density is 2325 kg/m3.

=====

Here is a relaxed Hf2TlZn crystal from Alexandria via LeMat-Bulk. Energies are from PBE-GGA.

The space group is Fm-3m (No. 225) and the conventional cell measures 6.891, 6.891 and 6.891 Å, with angles of 90.00, 90.00 and 90.00 degrees. The inequivalent atoms are Hf at (0.250, 0.250, 0.250), Tl at (0.000, 0.000, 0.000) and Zn at (0.000, 0.000, 0.500).

The energy above the lowest structure with this stoichiometry is 115 meV/atom. The energy of formation is 108 meV per atom. Its density is 12722 kg/m3.

=====

Here is a relaxed Ba2TlCd12Ag3 crystal from Alexandria via LeMat-Bulk. Energies are from PBE-GGA.

The space group is R-3m (No. 166, hexagonal axes) and the conventional cell measures 10.8542, 10.8542 and 14.1543 Å, with angles of 90.00, 90.00 and 120.00 degrees. The inequivalent atoms are Ba at (0.0000, 0.0000, 0.2483), Tl at (0.0000, 0.0000, 0.5000), Cd at (0.0105, 0.5052, 0.2015), Cd at (0.0560, 0.5280, 0.5995) and Ag at (0.0000, 0.5000, 0.0000).

The energy of formation is -14 meV per atom. Its density is 7422 kg/m3.

=====

Here is a relaxed Ce4SmIn5 crystal from Alexandria via LeMat-Bulk. Energies are from PBE-GGA.

The space group is P4/mmm (No. 123) and the conventional cell measures 3.409, 3.409 and 23.565 Å, with angles of 90.00, 90.00 and 90.00 degrees. The inequivalent atoms are Ce at (0.000, 0.000, 0.100), Ce at (0.000, 0.000, 0.301), Sm at (0.000, 0.000, 0.500), In at (0.500, 0.500, 0.000), In at (0.500, 0.500, 0.201) and In at (0.500, 0.500, 0.401).

The energy of formation is -383 meV per atom. Its density is 7789 kg/m3.

=====

Here is a relaxed TeAs2PSe crystal from Alexandria via LeMat-Bulk. Energies are from PBE-GGA.

The space group is P4/mmm (No. 123) and the conventional cell measures 4.855, 4.855 and 4.837 Å, with angles of 90.00, 90.00 and 90.00 degrees. The inequivalent atoms are Te at (0.000, 0.000, 0.000), As at (0.000, 0.500, 0.500), P at (0.500, 0.500, 0.500) and Se at (0.500, 0.500, 0.000).

The energy above the lowest structure with this stoichiometry is 0 meV/atom. Its density is 5642 kg/m3.

=====

Here is a relaxed Mn2CoBr crystal from Alexandria via LeMat-Bulk. Energies are from PBE-GGA.

The space group is P4/mmm (No. 123) and the conventional cell measures 4.440, 4.440 and 3.217 Å, with angles of 90.00, 90.00 and 90.00 degrees. The inequivalent atoms are Mn at (0.000, 0.500, 0.000), Co at (0.000, 0.000, 0.500) and Br at (0.500, 0.500, 0.500).

The energy above the lowest structure with this stoichiometry is 375 meV/atom. Its density is 6513 kg/m3.

=====

Computed magnetization (μB/atom) in order:
0.00 0.00 0.87 0.00 0.00 0.45 0.00 2.45